No. 1
Compound: CuSb2TeSe
Source: the Alexandria database
Functional: PBEsol
Structure: relaxed

The energy is -18.4 eV/f.u. The uncorrected formation energy is 0.483 eV per atom. As for the total moment: 0.00 μB per cell.

It has space group P4/mmm (No. 123), with a = 5.047 Å, b = 5.047 Å, c = 4.918 Å, α = 90.00°, β = 90.00° and γ = 90.00°. The distinct sites, in fractional coordinates, are Cu at (0.000, 0.000, 0.000), Sb at (0.000, 0.500, 0.000), Te at (0.000, 0.000, 0.500) and Se at (0.500, 0.500, 0.500).

***

No. 2
Compound: Ta4Mo3
Source: the Alexandria database
Functional: PBEsol
Structure: relaxed

The energy is -86.1 eV/f.u. The calculation puts the formation energy from the elements at -0.09 eV per atom. The polymorph energy (0 for the lowest one) is 47 meV per atom. As for the total moment: 0.00 μB per cell.

It has space group R-3m (No. 166, hexagonal axes), with a = 4.5552 Å, b = 4.5552 Å, c = 19.2491 Å, α = 90.00°, β = 90.00° and γ = 120.00°. The distinct sites, in fractional coordinates, are Ta at (0.0000, 0.0000, 0.0745), Ta at (0.0000, 0.0000, 0.3563), Mo at (0.0000, 0.0000, 0.2137) and Mo at (0.0000, 0.0000, 0.5000).

***

Question: Which of these has the lowest energy?
Answer: Ta4Mo3